No. 1
Density functional theory data (PBE) for a relaxed structure of KRb2Hg2Pd.

abc: 5.039 9.551 10.983
angles: 90.00 90.00 90.00
Atoms (fractional coordinates):
K1 0.000 0.204 0.000
K2 0.000 0.796 0.500
Rb1 0.000 0.241 0.621
Rb2 0.000 0.759 0.121
Rb3 0.500 0.386 0.312
Rb4 0.500 0.614 0.812
Hg1 0.000 0.096 0.323
Hg2 0.000 0.904 0.823
Hg3 0.500 0.018 0.167
Hg4 0.500 0.982 0.667
Pd1 0.500 0.040 0.422
Pd2 0.500 0.960 0.922

Results
crystal system	orthorhombic
formation energy from the elements	-167	meV per atom



No. 2
Density functional theory data (PBE) for a relaxed structure of BaTlIn2Bi.

abc: 7.572 7.572 7.572
angles: 143.94 136.78 57.52
Atoms (fractional coordinates):
Ba1 0.000 0.000 0.000
Tl1 0.228 0.728 0.500
In1 0.628 0.628 0.000
In2 0.770 0.270 0.500
Bi1 0.396 0.396 0.000

Results
crystal system	orthorhombic
formation energy from the elements	-296	meV per atom



No. 3
Density functional theory data (PBE) for a relaxed structure of ScTa2Mo.

abc: 5.458 5.458 5.458
angles: 137.35 137.35 61.91
Atoms (fractional coordinates):
Sc1 0.000 0.000 0.000
Ta1 0.250 0.750 0.500
Ta2 0.500 0.500 0.000
Mo1 0.750 0.250 0.500

Results
crystal system	tetragonal
formation energy from the elements	287	meV per atom
distance to the lowest polymorph of the same formula	230	meV/atom



No. 4
Density functional theory data (PBE) for a relaxed structure of AgH3Pd6.

abc: 4.901 4.905 5.664
angles: 92.67 92.09 109.61
Atoms (fractional coordinates):
Ag1 0.000 0.000 0.000
H1 0.300 0.673 0.973
H2 0.702 0.676 0.283
H3 0.733 0.185 0.517
Pd1 0.009 0.470 0.739
Pd2 0.473 0.936 0.241
Pd3 0.490 0.434 0.494
Pd4 0.490 0.953 0.741
Pd5 0.533 0.456 0.000
Pd6 0.983 0.947 0.489

Results
crystal system	triclinic
DFT total energy	-4.3905	eV/atom



No. 5
Density functional theory data (PBE) for a relaxed structure of TlOs3.

abc: 2.817 2.817 9.990
angles: 90.00 90.00 120.42
Atoms (fractional coordinates):
Tl1 0.000 0.000 0.000
Os1 0.000 0.000 0.500
Os2 0.500 0.500 0.278
Os3 0.500 0.500 0.722

Results
crystal system	orthorhombic
formation energy from the elements	1043	meV per atom
distance to the lowest polymorph of the same formula	371	meV/atom



No. 6
Density functional theory data (PBE) for a relaxed structure of NbVN2.

abc: 3.764 3.764 3.764
angles: 60.00 60.00 60.00
Atoms (fractional coordinates):
Nb1 0.000 0.000 0.000
V1 0.500 0.500 0.500
N1 0.250 0.250 0.250
N2 0.750 0.750 0.750

Results
energy relative to the elements, uncorrected	-0.46	eV/atom
crystal system	cubic



No. 7
Density functional theory data (PBE) for a relaxed structure of YMg2Mo.

abc: 10.839 10.839 10.839
angles: 16.20 16.20 16.20
Atoms (fractional coordinates):
Y1 0.000 0.000 0.000
Mg1 0.240 0.240 0.240
Mg2 0.760 0.760 0.760
Mo1 0.500 0.500 0.500

Results
crystal system	trigonal
formation energy from the elements	413	meV per atom
distance to the lowest polymorph of the same formula	131	meV/atom



No. 8
Density functional theory data (PBE) for a relaxed structure of YCrNi3.

abc: 4.353 4.353 4.353
angles: 90.00 90.00 90.00
Atoms (fractional coordinates):
Y1 0.000 0.000 0.000
Cr1 0.500 0.500 0.500
Ni1 0.000 0.500 0.500
Ni2 0.500 0.000 0.500
Ni3 0.500 0.500 0.000

Results
crystal system	cubic
formation energy from the elements	354	meV per atom
distance to the lowest polymorph of the same formula	0	meV/atom



No. 9
Density functional theory data (PBE) for a relaxed structure of EuScTlPd.

abc: 5.137 5.137 5.137
angles: 60.00 60.00 60.00
Atoms (fractional coordinates):
Eu1 0.000 0.000 0.000
Sc1 0.500 0.500 0.500
Tl1 0.750 0.750 0.750
Pd1 0.250 0.250 0.250

Results
crystal system	cubic
formation energy from the elements	-400	meV per atom



No. 10
Density functional theory data (PBE) for a relaxed structure of HgRuW4.

abc: 5.276 5.276 5.276
angles: 60.00 60.00 60.00
Atoms (fractional coordinates):
Hg1 0.000 0.000 0.000
Ru1 0.750 0.750 0.750
W1 0.374 0.374 0.374
W2 0.374 0.374 0.879
W3 0.374 0.879 0.374
W4 0.879 0.374 0.374

Results
crystal system	cubic
formation energy from the elements	679	meV per atom



No. 11
Density functional theory data (PBE) for a relaxed structure of ScPb4Se.

abc: 6.335 6.335 6.335
angles: 60.00 60.00 60.00
Atoms (fractional coordinates):
Sc1 0.000 0.000 0.000
Pb1 0.374 0.374 0.374
Pb2 0.374 0.374 0.877
Pb3 0.374 0.877 0.374
Pb4 0.877 0.374 0.374
Se1 0.750 0.750 0.750

Results
energy relative to the elements, uncorrected	0.16	eV/atom
crystal system	cubic



No. 12
Density functional theory data (PBE) for a relaxed structure of HfTi2Pd.

abc: 3.154 3.154 7.090
angles: 90.00 90.00 90.00
Atoms (fractional coordinates):
Hf1 0.000 0.000 0.000
Ti1 0.500 0.500 0.272
Ti2 0.500 0.500 0.728
Pd1 0.000 0.000 0.500

Results
crystal system	tetragonal
formation energy from the elements	-295	meV per atom
distance to the lowest polymorph of the same formula	28	meV/atom



No. 13
Density functional theory data (PBE) for a relaxed structure of NaPd2Au.

abc: 3.365 3.365 6.232
angles: 90.00 90.00 90.00
Atoms (fractional coordinates):
Na1 0.000 0.000 0.000
Pd1 0.500 0.500 0.265
Pd2 0.500 0.500 0.735
Au1 0.000 0.000 0.500

Results
crystal system	tetragonal
formation energy from the elements	-20	meV per atom
distance to the lowest polymorph of the same formula	105	meV/atom



No. 14
Density functional theory data (PBE) for a relaxed structure of BaHg7Pb12.

abc: 9.734 9.734 9.734
angles: 109.47 109.47 109.47
Atoms (fractional coordinates):
Ba1 0.000 0.000 0.000
Hg1 0.000 0.000 0.500
Hg2 0.000 0.500 0.000
Hg3 0.000 0.500 0.500
Hg4 0.500 0.000 0.000
Hg5 0.500 0.000 0.500
Hg6 0.500 0.500 0.000
Hg7 0.500 0.500 0.500
Pb1 0.125 0.307 0.818
Pb2 0.182 0.488 0.307
Pb3 0.182 0.875 0.693
Pb4 0.307 0.182 0.488
Pb5 0.307 0.818 0.125
Pb6 0.488 0.307 0.182
Pb7 0.512 0.693 0.818
Pb8 0.693 0.182 0.875
Pb9 0.693 0.818 0.512
Pb10 0.818 0.125 0.307
Pb11 0.818 0.512 0.693
Pb12 0.875 0.693 0.182

Results
crystal system	cubic
formation energy from the elements	139	meV per atom



No. 15
Density functional theory data (PBE) for a relaxed structure of InSb4Au8.

abc: 6.738 6.993 7.858
angles: 78.49 66.09 61.62
Atoms (fractional coordinates):
In1 0.000 0.000 0.000
Sb1 0.017 0.383 0.178
Sb2 0.278 0.651 0.362
Sb3 0.722 0.349 0.638
Sb4 0.983 0.617 0.822
Au1 0.172 0.233 0.645
Au2 0.365 0.773 0.654
Au3 0.380 0.005 0.295
Au4 0.478 0.725 0.990
Au5 0.522 0.275 0.010
Au6 0.620 0.995 0.705
Au7 0.635 0.227 0.346
Au8 0.828 0.767 0.355

Results
energy relative to the elements, uncorrected	-0.02	eV/atom
crystal system	triclinic



No. 16
Density functional theory data (PBE) for a relaxed structure of BeCo2Cu.

abc: 4.122 4.122 4.122
angles: 128.64 128.64 75.59
Atoms (fractional coordinates):
Be1 0.000 0.000 0.000
Co1 0.250 0.750 0.500
Co2 0.500 0.500 0.000
Cu1 0.750 0.250 0.500

Results
crystal system	tetragonal
formation energy from the elements	17	meV per atom



No. 17
Density functional theory data (PBE) for a relaxed structure of FeCuP2Cl.

abc: 4.381 4.381 5.050
angles: 90.00 90.00 90.00
Atoms (fractional coordinates):
Fe1 0.000 0.000 0.000
Cu1 0.500 0.500 0.500
P1 0.000 0.500 0.500
P2 0.500 0.000 0.500
Cl1 0.500 0.500 0.000

Results
energy relative to the elements, uncorrected	0.94	eV/atom
crystal system	tetragonal
distance to the lowest polymorph of the same formula	425	meV/atom



No. 18
Density functional theory data (PBE) for a relaxed structure of K2CaMo.

abc: 10.552 10.552 5.056
angles: 103.68 103.68 20.23
Atoms (fractional coordinates):
K1 0.159 0.159 0.159
K2 0.841 0.841 0.841
Ca1 0.000 0.000 0.500
Mo1 0.500 0.500 0.000

Results
crystal system	monoclinic
formation energy from the elements	998	meV per atom
distance to the lowest polymorph of the same formula	53	meV/atom



No. 19
Density functional theory data (PBE) for a relaxed structure of Ti2TlOs.

abc: 5.954 5.954 5.954
angles: 102.67 102.67 124.14
Atoms (fractional coordinates):
Ti1 0.072 0.625 0.947
Ti2 0.375 0.322 0.447
Ti3 0.678 0.125 0.053
Ti4 0.875 0.928 0.553
Tl1 0.250 0.750 0.500
Tl2 0.500 0.500 0.000
Os1 0.000 0.000 0.000
Os2 0.750 0.250 0.500

Results
crystal system	tetragonal
formation energy from the elements	309	meV per atom
distance to the lowest polymorph of the same formula	533	meV/atom



No. 20
Density functional theory data (PBE) for a relaxed structure of Cs2ErTlS4.

abc: 8.696 8.696 8.481
angles: 117.00 117.00 93.47
Atoms (fractional coordinates):
Cs1 0.000 0.000 0.000
Cs2 0.000 0.000 0.500
Cs3 0.000 0.500 0.000
Cs4 0.500 0.000 0.500
Er1 0.500 0.500 0.000
Er2 0.500 0.500 0.500
Tl1 0.000 0.500 0.500
Tl2 0.500 0.000 0.000
S1 0.251 0.704 0.519
S2 0.290 0.314 0.561
S3 0.296 0.749 0.981
S4 0.314 0.290 0.061
S5 0.686 0.710 0.939
S6 0.704 0.251 0.019
S7 0.710 0.686 0.439
S8 0.749 0.296 0.481

Results
energy relative to the elements, uncorrected	-1.06	eV/atom
crystal system	monoclinic



No. 21
Density functional theory data (PBE) for a relaxed structure of Na14Cd2Te9.

abc: 8.935 8.935 12.441
angles: 90.00 90.00 120.00
Atoms (fractional coordinates):
Na1 0.000 0.000 0.249
Na2 0.000 0.000 0.751
Na3 0.018 0.672 0.411
Na4 0.047 0.370 0.093
Na5 0.323 0.953 0.093
Na6 0.328 0.346 0.411
Na7 0.346 0.018 0.589
Na8 0.370 0.323 0.907
Na9 0.630 0.677 0.093
Na10 0.654 0.982 0.411
Na11 0.672 0.654 0.589
Na12 0.677 0.047 0.907
Na13 0.953 0.630 0.907
Na14 0.982 0.328 0.589
Cd1 0.333 0.667 0.755
Cd2 0.667 0.333 0.245
Te1 0.000 0.000 0.500
Te2 0.043 0.349 0.838
Te3 0.306 0.957 0.838
Te4 0.333 0.667 0.522
Te5 0.349 0.306 0.162
Te6 0.651 0.694 0.838
Te7 0.667 0.333 0.478
Te8 0.694 0.043 0.162
Te9 0.957 0.651 0.162

Results
energy relative to the elements, uncorrected	-0.85	eV/atom
crystal system	trigonal



No. 22
Density functional theory data (PBE) for a relaxed structure of Sr4Ag3Bi8.

abc: 4.822 4.822 20.095
angles: 90.00 90.00 90.00
Atoms (fractional coordinates):
Sr1 0.000 0.500 0.110
Sr2 0.000 0.500 0.622
Sr3 0.500 0.000 0.378
Sr4 0.500 0.000 0.890
Ag1 0.000 0.000 0.000
Ag2 0.000 0.000 0.500
Ag3 0.500 0.500 0.500
Bi1 0.000 0.000 0.243
Bi2 0.000 0.000 0.757
Bi3 0.000 0.500 0.410
Bi4 0.000 0.500 0.916
Bi5 0.500 0.000 0.084
Bi6 0.500 0.000 0.590
Bi7 0.500 0.500 0.242
Bi8 0.500 0.500 0.758

Results
crystal system	tetragonal
formation energy from the elements	-403	meV per atom



No. 23
Density functional theory data (PBE) for a relaxed structure of PuZrGa4.

abc: 5.417 5.417 5.417
angles: 60.00 60.00 60.00
Atoms (fractional coordinates):
Pu1 0.000 0.000 0.000
Zr1 0.750 0.750 0.750
Ga1 0.375 0.375 0.375
Ga2 0.375 0.375 0.875
Ga3 0.375 0.875 0.375
Ga4 0.875 0.375 0.375

Results
crystal system	cubic
formation energy from the elements	-364	meV per atom



No. 24
Density functional theory data (PBE) for a relaxed structure of Ac6TmMg5.

abc: 5.835 8.257 9.271
angles: 90.00 108.43 90.00
Atoms (fractional coordinates):
Ac1 0.000 0.242 0.000
Ac2 0.000 0.758 0.000
Ac3 0.331 0.249 0.663
Ac4 0.331 0.751 0.663
Ac5 0.669 0.249 0.337
Ac6 0.669 0.751 0.337
Tm1 0.500 0.500 0.000
Mg1 0.162 0.500 0.322
Mg2 0.168 0.000 0.335
Mg3 0.500 0.000 0.000
Mg4 0.832 0.000 0.665
Mg5 0.838 0.500 0.678

Results
crystal system	monoclinic
formation energy from the elements	-41	meV per atom